A plane-wave DFT calculation with PBEsol was carried out for crystalline ScTe3O at its relaxed geometry.

```
data_ScTe3O
_chemical_formula_sum 'Sc1 Te3 O1'
_symmetry_space_group_name_H-M 'P 1'
_symmetry_Int_Tables_number 1
_cell_length_a 4.7889
_cell_length_b 4.7889
_cell_length_c 4.7889
_cell_angle_alpha 90.00
_cell_angle_beta 90.00
_cell_angle_gamma 90.00
loop_
_symmetry_equiv_pos_as_xyz
'x,y,z'
loop_
_atom_site_label
_atom_site_type_symbol
_atom_site_fract_x
_atom_site_fract_y
_atom_site_fract_z
_atom_site_occupancy
Sc1 Sc 0.5000 0.5000 0.5000 1
Te1 Te 0.0000 0.5000 0.0000 1
Te2 Te 0.0000 0.0000 0.5000 1
Te3 Te 0.5000 0.0000 0.0000 1
O1 O 0.0000 0.0000 0.0000 1
```

Output
* M_tot: 0.000 μB/f.u.
* formation energy (no corrections): -0.37 eV per atom

---

A plane-wave DFT calculation with PBEsol was carried out for crystalline SrSb2Rh at its relaxed geometry.

```
data_SrSb2Rh
_chemical_formula_sum 'Sr1 Sb2 Rh1'
_symmetry_space_group_name_H-M 'P 1'
_symmetry_Int_Tables_number 1
_cell_length_a 4.2765
_cell_length_b 4.2765
_cell_length_c 6.9172
_cell_angle_alpha 71.99
_cell_angle_beta 71.99
_cell_angle_gamma 60.00
loop_
_symmetry_equiv_pos_as_xyz
'x,y,z'
loop_
_atom_site_label
_atom_site_type_symbol
_atom_site_fract_x
_atom_site_fract_y
_atom_site_fract_z
_atom_site_occupancy
Sb1 Sb 0.9435 0.9435 0.1694 1
Sb2 Sb 0.7186 0.7186 0.8440 1
Rh1 Rh 0.3259 0.3259 0.0222 1
Sr1 Sr 0.5036 0.5036 0.4892 1
```

Output
* M_tot: 0.000 μB/f.u.
* formation energy (no corrections): -0.67 eV per atom

---

A plane-wave DFT calculation with PBEsol was carried out for crystalline Hf6Ga16Rh7 at its relaxed geometry.

```
data_Hf6Ga16Rh7
_chemical_formula_sum 'Hf6 Ga16 Rh7'
_symmetry_space_group_name_H-M 'P 1'
_symmetry_Int_Tables_number 1
_cell_length_a 8.6084
_cell_length_b 8.6084
_cell_length_c 8.6084
_cell_angle_alpha 60.00
_cell_angle_beta 60.00
_cell_angle_gamma 60.00
loop_
_symmetry_equiv_pos_as_xyz
'x,y,z'
loop_
_atom_site_label
_atom_site_type_symbol
_atom_site_fract_x
_atom_site_fract_y
_atom_site_fract_z
_atom_site_occupancy
Hf1 Hf 0.3089 0.3089 0.6911 1
Hf2 Hf 0.6911 0.3089 0.6911 1
Hf3 Hf 0.6911 0.3089 0.3089 1
Hf4 Hf 0.6911 0.6911 0.3089 1
Hf5 Hf 0.3089 0.6911 0.3089 1
Hf6 Hf 0.3089 0.6911 0.6911 1
Ga1 Ga 0.8780 0.3661 0.8780 1
Ga2 Ga 0.8780 0.8780 0.3661 1
Ga3 Ga 0.8780 0.8780 0.8780 1
Ga4 Ga 0.3661 0.8780 0.8780 1
Ga5 Ga 0.1220 0.6339 0.1220 1
Ga6 Ga 0.1220 0.1220 0.6339 1
Ga7 Ga 0.1220 0.1220 0.1220 1
Ga8 Ga 0.6339 0.1220 0.1220 1
Ga9 Ga 0.6561 0.0318 0.6561 1
Ga10 Ga 0.6561 0.6561 0.0318 1
Ga11 Ga 0.6561 0.6561 0.6561 1
Ga12 Ga 0.0318 0.6561 0.6561 1
Ga13 Ga 0.3439 0.9682 0.3439 1
Ga14 Ga 0.3439 0.3439 0.9682 1
Ga15 Ga 0.3439 0.3439 0.3439 1
Ga16 Ga 0.9682 0.3439 0.3439 1
Rh1 Rh 0.0000 0.0000 0.0000 1
Rh2 Rh 0.5000 0.5000 0.0000 1
Rh3 Rh 0.0000 0.5000 0.0000 1
Rh4 Rh 0.0000 0.5000 0.5000 1
Rh5 Rh 0.0000 0.0000 0.5000 1
Rh6 Rh 0.5000 0.0000 0.5000 1
Rh7 Rh 0.5000 0.0000 0.0000 1
```

Output
* M_tot: 0.000 μB/f.u.
* E_tot: -192.08 eV per formula unit

---

A plane-wave DFT calculation with PBEsol was carried out for crystalline FePb2Br at its relaxed geometry.

```
data_FePb2Br
_chemical_formula_sum 'Fe1 Pb2 Br1'
_symmetry_space_group_name_H-M 'P 1'
_symmetry_Int_Tables_number 1
_cell_length_a 3.4255
_cell_length_b 3.4255
_cell_length_c 9.7931
_cell_angle_alpha 90.00
_cell_angle_beta 90.00
_cell_angle_gamma 119.84
loop_
_symmetry_equiv_pos_as_xyz
'x,y,z'
loop_
_atom_site_label
_atom_site_type_symbol
_atom_site_fract_x
_atom_site_fract_y
_atom_site_fract_z
_atom_site_occupancy
Br1 Br 0.0000 0.0000 0.4400 1
Fe1 Fe 0.5000 0.5000 0.2654 1
Pb1 Pb 0.0000 0.0000 0.0446 1
Pb2 Pb 0.5000 0.5000 0.7499 1
```

Output
* M_tot: 3.063 μB/f.u.
* formation energy (no corrections): 0.23 eV per atom

---

A plane-wave DFT calculation with PBEsol was carried out for crystalline CaIn2Sb at its relaxed geometry.

```
data_CaIn2Sb
_chemical_formula_sum 'Ca1 In2 Sb1'
_symmetry_space_group_name_H-M 'P 1'
_symmetry_Int_Tables_number 1
_cell_length_a 4.6084
_cell_length_b 4.6108
_cell_length_c 5.8453
_cell_angle_alpha 113.28
_cell_angle_beta 113.29
_cell_angle_gamma 90.04
loop_
_symmetry_equiv_pos_as_xyz
'x,y,z'
loop_
_atom_site_label
_atom_site_type_symbol
_atom_site_fract_x
_atom_site_fract_y
_atom_site_fract_z
_atom_site_occupancy
Sb1 Sb 0.5006 0.4994 0.9997 1
Ca1 Ca 0.2496 0.7498 0.4995 1
In1 In 0.0004 0.9998 0.0001 1
In2 In 0.7495 0.2510 0.5007 1
```

Output
* M_tot: 0.000 μB/f.u.
* formation energy (no corrections): -0.41 eV per atom

---

A plane-wave DFT calculation with PBEsol was carried out for crystalline AlZn2Cu at its relaxed geometry.

```
data_AlZn2Cu
_chemical_formula_sum 'Al1 Zn2 Cu1'
_symmetry_space_group_name_H-M 'P 1'
_symmetry_Int_Tables_number 1
_cell_length_a 2.8503
_cell_length_b 4.5484
_cell_length_c 4.5484
_cell_angle_alpha 111.73
_cell_angle_beta 90.00
_cell_angle_gamma 90.00
loop_
_symmetry_equiv_pos_as_xyz
'x,y,z'
loop_
_atom_site_label
_atom_site_type_symbol
_atom_site_fract_x
_atom_site_fract_y
_atom_site_fract_z
_atom_site_occupancy
Zn1 Zn 0.0000 0.5000 0.0000 1
Zn2 Zn 0.0000 0.0000 0.5000 1
Al1 Al 0.5000 0.0000 0.0000 1
Cu1 Cu 0.5000 0.5000 0.5000 1
```

Output
* M_tot: 0.000 μB/f.u.
* E_tot: -11.65 eV per formula unit

---

A plane-wave DFT calculation with PBEsol was carried out for crystalline ZrCoPO2 at its relaxed geometry.

```
data_ZrCoPO2
_chemical_formula_sum 'Zr1 Co1 P1 O2'
_symmetry_space_group_name_H-M 'P 1'
_symmetry_Int_Tables_number 1
_cell_length_a 3.9154
_cell_length_b 3.9154
_cell_length_c 5.5831
_cell_angle_alpha 90.00
_cell_angle_beta 90.00
_cell_angle_gamma 90.00
loop_
_symmetry_equiv_pos_as_xyz
'x,y,z'
loop_
_atom_site_label
_atom_site_type_symbol
_atom_site_fract_x
_atom_site_fract_y
_atom_site_fract_z
_atom_site_occupancy
P1 P 0.0000 0.0000 0.5000 1
Co1 Co 0.5000 0.5000 0.5000 1
O1 O 0.0000 0.5000 0.0000 1
O2 O 0.5000 0.0000 0.0000 1
Zr1 Zr 0.0000 0.0000 0.0000 1
```

Output
* M_tot: 2.723 μB/f.u.
* formation energy (no corrections): -0.80 eV per atom

---

A plane-wave DFT calculation with PBEsol was carried out for crystalline ZnCuIr2Ru at its relaxed geometry.

```
data_ZnCuIr2Ru
_chemical_formula_sum 'Zn1 Cu1 Ir2 Ru1'
_symmetry_space_group_name_H-M 'P 1'
_symmetry_Int_Tables_number 1
_cell_length_a 4.5406
_cell_length_b 4.5955
_cell_length_c 4.5955
_cell_angle_alpha 90.00
_cell_angle_beta 90.00
_cell_angle_gamma 90.00
loop_
_symmetry_equiv_pos_as_xyz
'x,y,z'
loop_
_atom_site_label
_atom_site_type_symbol
_atom_site_fract_x
_atom_site_fract_y
_atom_site_fract_z
_atom_site_occupancy
Ru1 Ru 0.0000 0.0000 0.0000 1
Zn1 Zn 0.5000 0.5000 0.5000 1
Ir1 Ir 0.0000 0.0000 0.5000 1
Ir2 Ir 0.0000 0.5000 0.0000 1
Cu1 Cu 0.5000 0.0000 0.0000 1
```

Output
* M_tot: 0.000 μB/f.u.
* E_tot: -27.54 eV per formula unit

---

A plane-wave DFT calculation with PBEsol was carried out for crystalline NaNbO3 at its relaxed geometry.

```
data_NaNbO3
_chemical_formula_sum 'Na2 Nb2 O6'
_symmetry_space_group_name_H-M 'P 1'
_symmetry_Int_Tables_number 1
_cell_length_a 3.9888
_cell_length_b 5.5109
_cell_length_c 5.5109
_cell_angle_alpha 90.00
_cell_angle_beta 90.00
_cell_angle_gamma 90.00
loop_
_symmetry_equiv_pos_as_xyz
'x,y,z'
loop_
_atom_site_label
_atom_site_type_symbol
_atom_site_fract_x
_atom_site_fract_y
_atom_site_fract_z
_atom_site_occupancy
Na1 Na 0.5000 0.0000 0.5000 1
Na2 Na 0.5000 0.5000 0.0000 1
Nb1 Nb 0.0000 0.5000 0.5000 1
Nb2 Nb 0.0000 0.0000 0.0000 1
O1 O 0.0000 0.8055 0.6945 1
O2 O 0.0000 0.6945 0.1945 1
O3 O 0.0000 0.3055 0.8055 1
O4 O 0.0000 0.1945 0.3055 1
O5 O 0.5000 0.0000 0.0000 1
O6 O 0.5000 0.5000 0.5000 1
```

Output
* M_tot: 0.000 μB/f.u.
* formation energy (no corrections): -2.41 eV per atom

---

A plane-wave DFT calculation with PBEsol was carried out for crystalline Mg2TlF at its relaxed geometry.

```
data_Mg2TlF
_chemical_formula_sum 'Mg2 Tl1 F1'
_symmetry_space_group_name_H-M 'P 1'
_symmetry_Int_Tables_number 1
_cell_length_a 4.7991
_cell_length_b 4.7991
_cell_length_c 4.7991
_cell_angle_alpha 60.00
_cell_angle_beta 60.00
_cell_angle_gamma 60.00
loop_
_symmetry_equiv_pos_as_xyz
'x,y,z'
loop_
_atom_site_label
_atom_site_type_symbol
_atom_site_fract_x
_atom_site_fract_y
_atom_site_fract_z
_atom_site_occupancy
Tl1 Tl 0.5000 0.5000 0.5000 1
Mg1 Mg 0.2500 0.2500 0.2500 1
Mg2 Mg 0.7500 0.7500 0.7500 1
F1 F 0.0000 0.0000 0.0000 1
```

Output
* M_tot: 0.000 μB/f.u.
* formation energy (no corrections): -0.65 eV per atom

---

A plane-wave DFT calculation with PBEsol was carried out for crystalline LiCa3 at its relaxed geometry.

```
data_LiCa3
_chemical_formula_sum 'Li2 Ca6'
_symmetry_space_group_name_H-M 'P 1'
_symmetry_Int_Tables_number 1
_cell_length_a 5.1917
_cell_length_b 5.1917
_cell_length_c 11.3846
_cell_angle_alpha 103.18
_cell_angle_beta 103.18
_cell_angle_gamma 90.00
loop_
_symmetry_equiv_pos_as_xyz
'x,y,z'
loop_
_atom_site_label
_atom_site_type_symbol
_atom_site_fract_x
_atom_site_fract_y
_atom_site_fract_z
_atom_site_occupancy
Ca1 Ca 0.0000 0.5000 0.0000 1
Ca2 Ca 0.5000 0.0000 0.0000 1
Ca3 Ca 0.7500 0.2500 0.5000 1
Ca4 Ca 0.2500 0.7500 0.5000 1
Ca5 Ca 0.8767 0.8767 0.7534 1
Ca6 Ca 0.1233 0.1233 0.2466 1
Li1 Li 0.6279 0.6279 0.2558 1
Li2 Li 0.3721 0.3721 0.7442 1
```

Output
* M_tot: 0.000 μB/f.u.
* offset from the most stable computed form: 0.033 eV/atom

---

A plane-wave DFT calculation with PBEsol was carried out for crystalline ScCdAu2 at its relaxed geometry.

```
data_ScCdAu2
_chemical_formula_sum 'Sc1 Cd1 Au2'
_symmetry_space_group_name_H-M 'P 1'
_symmetry_Int_Tables_number 1
_cell_length_a 3.3229
_cell_length_b 3.3229
_cell_length_c 6.7102
_cell_angle_alpha 90.00
_cell_angle_beta 90.00
_cell_angle_gamma 90.00
loop_
_symmetry_equiv_pos_as_xyz
'x,y,z'
loop_
_atom_site_label
_atom_site_type_symbol
_atom_site_fract_x
_atom_site_fract_y
_atom_site_fract_z
_atom_site_occupancy
Sc1 Sc 0.5000 0.5000 0.5000 1
Au1 Au 0.0000 0.0000 0.7371 1
Au2 Au 0.0000 0.0000 0.2629 1
Cd1 Cd 0.5000 0.5000 0.0000 1
```

Output
* M_tot: 0.000 μB/f.u.
* E_tot: -18.01 eV per formula unit

---

A plane-wave DFT calculation with PBEsol was carried out for crystalline LiMnBO3 at its relaxed geometry.

```
data_LiMnBO3
_chemical_formula_sum 'Li4 Mn4 B4 O12'
_symmetry_space_group_name_H-M 'P 1'
_symmetry_Int_Tables_number 1
_cell_length_a 5.3621
_cell_length_b 6.7160
_cell_length_c 8.3259
_cell_angle_alpha 90.00
_cell_angle_beta 90.00
_cell_angle_gamma 113.46
loop_
_symmetry_equiv_pos_as_xyz
'x,y,z'
loop_
_atom_site_label
_atom_site_type_symbol
_atom_site_fract_x
_atom_site_fract_y
_atom_site_fract_z
_atom_site_occupancy
Li1 Li 0.7405 0.4027 0.9450 1
Li2 Li 0.7595 0.0973 0.4450 1
Li3 Li 0.2405 0.9027 0.5550 1
Li4 Li 0.2595 0.5973 0.0550 1
Mn1 Mn 0.1346 0.2374 0.7794 1
Mn2 Mn 0.3654 0.2626 0.2794 1
Mn3 Mn 0.6346 0.7374 0.7206 1
Mn4 Mn 0.8654 0.7626 0.2206 1
B1 B 0.6317 0.3014 0.6267 1
B2 B 0.8683 0.1986 0.1267 1
B3 B 0.1317 0.8014 0.8733 1
B4 B 0.3683 0.6986 0.3733 1
O1 O 0.0458 0.2965 0.0020 1
O2 O 0.5499 0.4066 0.7488 1
O3 O 0.4542 0.2035 0.5020 1
O4 O 0.8729 0.2784 0.6327 1
O5 O 0.6271 0.2216 0.1327 1
O6 O 0.0499 0.9066 0.7512 1
O7 O 0.9501 0.0934 0.2488 1
O8 O 0.3729 0.7784 0.8673 1
O9 O 0.1271 0.7216 0.3673 1
O10 O 0.5458 0.7965 0.4980 1
O11 O 0.4501 0.5934 0.2512 1
O12 O 0.9542 0.7035 0.9980 1
```

Output
* M_tot: 5.000 μB/f.u.
* offset from the most stable computed form: 0.061 eV/atom
* formation energy (no corrections): -1.94 eV per atom